# 1
Here is a geometry-optimized Er8Ru3Pb2 structure from the Alexandria database. Energies are from PBE.

Cell lengths 8.885, 8.885, 4.881 Å; angles 90.00, 90.00, 114.03 degrees
Positions (direct):
Er 0.107 0.893 0.000
Er 0.147 0.363 0.500
Er 0.363 0.147 0.500
Er 0.389 0.611 0.000
Er 0.611 0.389 0.000
Er 0.637 0.853 0.500
Er 0.853 0.637 0.500
Er 0.893 0.107 0.000
Ru 0.252 0.252 0.000
Ru 0.500 0.500 0.500
Ru 0.748 0.748 0.000
Pb 0.243 0.757 0.500
Pb 0.757 0.243 0.500

D(E_F)   8.22 states/eV/f.u.
DFT total energy   -5.881 eV/atom

=====

# 2
Here is a geometry-optimized Er6RuPb3 structure from the Alexandria database. Energies are from PBE.

Cell lengths 6.107, 8.709, 12.184 Å; angles 90.00, 118.02, 90.00 degrees
Positions (direct):
Er 0.062 0.154 0.442
Er 0.062 0.346 0.942
Er 0.337 0.705 0.436
Er 0.337 0.795 0.936
Er 0.406 0.050 0.269
Er 0.406 0.450 0.769
Er 0.594 0.550 0.231
Er 0.594 0.950 0.731
Er 0.663 0.205 0.064
Er 0.663 0.295 0.564
Er 0.938 0.654 0.058
Er 0.938 0.846 0.558
Ru 0.500 0.000 0.500
Ru 0.500 0.500 0.000
Pb 0.000 0.000 0.000
Pb 0.000 0.500 0.500
Pb 0.165 0.112 0.766
Pb 0.165 0.388 0.266
Pb 0.835 0.612 0.734
Pb 0.835 0.888 0.234

D(E_F)   8.88 states/eV/f.u.
DFT total energy   -5.128 eV/atom

=====

# 3
Here is a geometry-optimized Er3RuPb structure from the Alexandria database. Energies are from PBE.

Cell lengths 5.267, 5.267, 5.267 Å; angles 90.00, 90.00, 90.00 degrees
Positions (direct):
Er 0.000 0.000 0.500
Er 0.000 0.500 0.000
Er 0.500 0.000 0.000
Ru 0.000 0.000 0.000
Pb 0.500 0.500 0.500

D(E_F)   3.20 states/eV/f.u.
DFT total energy   -5.575 eV/atom
ΔE to the lowest computed polymorph   166.6 meV per atom